Entry w
The following is a GGA+U calculation of an optimized crystal structure of TlV2PF, from Alexandria.

Properties
Size of the total moment (μB/atom): 1.40

Cell lengths 5.415, 5.415, 4.401 Å; angles 90.00, 90.00, 90.00 degrees
Space group P4/mmm (No. 123)
Inequivalent atoms, fractional coordinates:
Tl 0.000 0.000 0.000 (multiplicity 1)
V 0.000 0.500 0.000 (multiplicity 2)
P 0.500 0.500 0.500 (multiplicity 1)
F 0.000 0.000 0.500 (multiplicity 1)

***

Entry x
The following is a GGA+U calculation of an optimized crystal structure of TlV2PF, from Alexandria.

Properties
Size of the total moment (μB/atom): 1.40

Cell lengths 4.638, 4.638, 6.445 Å; angles 90.00, 90.00, 90.00 degrees
Space group P4/mmm (No. 123)
Inequivalent atoms, fractional coordinates:
Tl 0.000 0.000 0.000 (multiplicity 1)
V 0.000 0.500 0.500 (multiplicity 2)
P 0.000 0.000 0.500 (multiplicity 1)
F 0.500 0.500 0.000 (multiplicity 1)

***

Stability comparison, relative energies in kJ/mol of atoms: entry w 60.5; entry x 0.0